(1)
Material: Zn2CdBr
Method: DFT, PBE
State: relaxed

The structure belongs to space group P4/mmm (No. 123); the cell edges are 3.373, 3.373 and 7.603 Å and the angles 90.00°, 90.00° and 90.00°. The inequivalent atoms are Zn at (0.000, 0.000, 0.242), Cd at (0.500, 0.500, 0.000) and Br at (0.500, 0.500, 0.500).

Its energy relative to the lowest polymorph listed for this composition is 85 kJ/mol of formula units. The value obtained for the formation energy without anion corrections is 0.041 eV per atom. As for the total energy: -1.243 eV/atom. The density of states at the Fermi level comes out at 1.11 states/eV/f.u.

---

(2)
Material: Zn2Cd2Br
Method: DFT, PBE
State: relaxed

The structure belongs to space group P4/mbm (No. 127); the cell edges are 8.547, 8.547 and 3.010 Å and the angles 90.00°, 90.00° and 90.00°. The inequivalent atoms are Zn at (0.107, 0.393, 0.000), Cd at (0.193, 0.693, 0.500) and Br at (0.000, 0.000, 0.500).

The value obtained for the formation energy without anion corrections is -0.012 eV per atom. As for the total energy: -1.222 eV/atom. The density of states at the Fermi level comes out at 2.51 states/eV/f.u.

---

(3)
Material: Zn2CdBr
Method: DFT, PBE
State: relaxed

The structure belongs to space group Cmm2 (No. 35); the cell edges are 3.919, 5.727 and 8.042 Å and the angles 90.00°, 90.00° and 90.00°. The inequivalent atoms are Zn at (0.000, 0.000, 0.000), Zn at (0.000, 0.500, 0.211), Cd at (0.000, 0.000, 0.458) and Br at (0.000, 0.500, 0.762).

Its energy relative to the lowest polymorph listed for this composition is 65 kJ/mol of formula units. The value obtained for the formation energy without anion corrections is -0.011 eV per atom. As for the total energy: -1.295 eV/atom. The density of states at the Fermi level comes out at 0.88 states/eV/f.u.

---

(4)
Material: ZnCd3Br8
Method: DFT, PBE
State: relaxed

The structure belongs to space group C2/m (No. 12); the cell edges are 13.839, 7.976 and 8.342 Å and the angles 90.00°, 124.03° and 90.00°. The inequivalent atoms are Zn at (0.000, 0.000, 0.000), Cd at (0.000, 0.500, 0.000), Cd at (0.250, 0.250, 0.000), Br at (0.004, 0.238, 0.777), Br at (0.234, 0.000, 0.223) and Br at (0.245, 0.500, 0.231).

The value obtained for the formation energy without anion corrections is -0.837 eV per atom. As for the total energy: -2.287 eV/atom. The density of states at the Fermi level comes out at 0.00 states/eV/f.u.

---

(5)
Material: Zn2CdBr
Method: DFT, PBE
State: relaxed

The structure belongs to space group C2/m (No. 12); the cell edges are 9.556, 3.687 and 7.449 Å and the angles 90.00°, 127.94° and 90.00°. The inequivalent atoms are Zn at (0.142, 0.000, 0.360), Cd at (0.000, 0.500, 0.500) and Br at (0.000, 0.500, 0.000).

Its energy relative to the lowest polymorph listed for this composition is 43 kJ/mol of formula units. The value obtained for the formation energy without anion corrections is -0.068 eV per atom. As for the total energy: -1.352 eV/atom. The density of states at the Fermi level comes out at 0.96 states/eV/f.u.

---

(6)
Material: Zn2CdBr
Method: DFT, PBE
State: relaxed

The structure belongs to space group Pmmm (No. 47); the cell edges are 3.522, 4.710 and 5.737 Å and the angles 90.00°, 90.00° and 90.00°. The inequivalent atoms are Zn at (0.000, 0.000, 0.000), Zn at (0.500, 0.500, 0.000), Cd at (0.000, 0.500, 0.500) and Br at (0.500, 0.000, 0.500).

Its energy relative to the lowest polymorph listed for this composition is 119 kJ/mol of formula units. The value obtained for the formation energy without anion corrections is 0.127 eV per atom. As for the total energy: -1.156 eV/atom. The density of states at the Fermi level comes out at 1.75 states/eV/f.u.

---

(7)
Material: ZnCd3Br
Method: DFT, PBE
State: relaxed

The structure belongs to space group Pm-3m (No. 221); the cell edges are 6.147, 6.147 and 6.147 Å and the angles 90.00°, 90.00° and 90.00°. The inequivalent atoms are Zn at (0.000, 0.000, 0.000), Cd at (0.000, 0.500, 0.500) and Br at (0.500, 0.500, 0.500).

Its energy relative to the lowest polymorph listed for this composition is 249 kJ/mol of formula units. The value obtained for the formation energy without anion corrections is 0.492 eV per atom. As for the total energy: -0.646 eV/atom. The density of states at the Fermi level comes out at 5.41 states/eV/f.u.

---

(8)
Material: ZnCdBr4
Method: DFT, PBE
State: relaxed

The structure belongs to space group P4_2/mmc (No. 131); the cell edges are 7.529, 7.529 and 9.546 Å and the angles 90.00°, 90.00° and 90.00°. The inequivalent atoms are Zn at (0.000, 0.500, 0.000), Cd at (0.000, 0.000, 0.000) and Br at (0.238, 0.264, 0.000).

Its energy relative to the lowest polymorph listed for this composition is 74 kJ/mol of formula units. The value obtained for the formation energy without anion corrections is -0.690 eV per atom. As for the total energy: -2.170 eV/atom. The density of states at the Fermi level comes out at 0.00 states/eV/f.u.